Entry from Alexandria: a relaxed SiTcAs2 crystal (GGA-PBE).

For the uncorrected formation energy, the calculation gives -76 meV/atom. Its density is 6.51 Mg/m³. Its size of the total moment is 0.000 μB per atom.

The structure belongs to space group P4mm (No. 99); the cell edges are 3.0877, 3.0877 and 7.3845 Å and the angles 90.00°, 90.00° and 90.00°. Symmetry generates all atoms from Si at (0.0000, 0.0000, 0.0000), Tc at (0.5000, 0.5000, 0.1692), As at (0.0000, 0.0000, 0.3884) and As at (0.5000, 0.5000, 0.7980).

***

Entry from Alexandria: a relaxed CrMoAs crystal (GGA-PBE).

Its energy above the most stable polymorph in this dataset is 0 meV/atom. Its density is 7.75 Mg/m³. Its size of the total moment is 0.276 μB per atom. The value obtained for the energy of formation is 0.2 eV/f.u.

The structure belongs to space group F-43m (No. 216); the cell edges are 5.7600, 5.7600 and 5.7600 Å and the angles 90.00°, 90.00° and 90.00°. Symmetry generates all atoms from Cr at (0.0000, 0.0000, 0.0000), Mo at (0.2500, 0.2500, 0.7500) and As at (0.2500, 0.2500, 0.2500).

***

Entry from Alexandria: a relaxed DyAlIr crystal (GGA-PBE).

Its density is 10.40 Mg/m³. Its size of the total moment is 0.000 μB per atom. The value obtained for the energy of formation is -2.3 eV/f.u.

The structure belongs to space group P-6m2 (No. 187); the cell edges are 4.3006, 4.3006 and 3.8044 Å and the angles 90.00°, 90.00° and 120.00°. Symmetry generates all atoms from Dy at (0.0000, 0.0000, 0.0000), Al at (0.3333, 0.6667, 0.5000) and Ir at (0.6667, 0.3333, 0.5000).

***

Entry from Alexandria: a relaxed Li2Ta2Mo crystal (GGA-PBE).

Its density is 10.26 Mg/m³. Its size of the total moment is 0.067 μB per atom. The value obtained for the energy of formation is 4.4 eV/f.u.

The structure belongs to space group I4/mmm (No. 139); the cell edges are 3.8720, 3.8720 and 10.1806 Å and the angles 90.00°, 90.00° and 90.00°. Symmetry generates all atoms from Li at (0.0000, 0.0000, 0.0822), Ta at (0.0000, 0.5000, 0.2500) and Mo at (0.0000, 0.0000, 0.5000).

***

> Look up the density of the second one.

7.75 Mg/m³